Record 1
Here is a geometry-optimized CsP2Ru2 structure from Alexandria via LeMat-Bulk. Energies are from PBEsol.

Cell and atoms, written as extended XYZ:
```
5
Lattice="-2.005 2.005 6.820 2.005 -2.005 6.820 2.005 2.005 -6.820" Properties=species:S:1:pos:R:3 pbc="T T T"
Cs 0.000 0.000 0.000
P 0.000 0.000 4.519
P 0.000 0.000 9.120
Ru 2.005 0.000 3.410
Ru 0.000 2.005 3.410
```

Summary:
Crystal system: tetragonal
D(E_F) in states/eV/f.u.: 2.49
Space group: I4/mmm, No. 139

---

Record 2
Here is a geometry-optimized CePt2 structure from Alexandria via LeMat-Bulk. Energies are from PBEsol.

Cell and atoms, written as extended XYZ:
```
6
Lattice="0.000 3.819 3.819 3.819 0.000 3.819 3.819 3.819 0.000" Properties=species:S:1:pos:R:3 pbc="T T T"
Ce 0.955 0.955 0.955
Ce 6.683 6.683 6.683
Pt 3.819 1.909 1.909
Pt 1.909 3.819 1.909
Pt 1.909 1.909 3.819
Pt 3.819 3.819 3.819
```

Summary:
Crystal system: cubic
D(E_F) in states/eV/f.u.: 5.09
Space group: Fd-3m, No. 227

---

Going through the records in order, we get DFT formation energy values of -0.62 -0.97 eV/atom.
Going through the records in order, we get uncorrected energy values of -7.19 -7.81 eV/atom.
Going through the records in order, we get calculated volume values of 109.6 55.7 Å³/f.u..